PBE Ni2MoP, relaxed; SG = P4/mmm; energy = -7.073 eV/atom; energy of formation = -0.12 eV per atom; Fermi-level density of states = 4.39 states/eV/f.u.
1.0
3.530 0.000 0.000
0.000 3.530 0.000
0.000 0.000 3.933
Ni Mo P
2 1 1
Direct
0.500 0.000 0.000
0.000 0.500 0.000
0.000 0.000 0.500
0.500 0.500 0.500

=====

PBE Ni2MoP, relaxed; SG = Amm2; energy = -7.195 eV/atom; energy of formation = -0.24 eV per atom; Fermi-level density of states = 2.71 states/eV/f.u.
1.0
-0.390 0.318 -5.127
-2.176 -1.676 4.358
-1.656 2.953 0.309
Mo Ni P
1 2 1
Direct
0.578 0.422 0.500
0.929 0.071 0.000
0.315 0.685 0.500
0.179 0.821 0.000

=====

PBE Ni2MoP, relaxed; SG = Imm2; energy = -7.132 eV/atom; energy of formation = -0.18 eV per atom; Fermi-level density of states = 3.77 states/eV/f.u.
1.0
-1.792 2.063 3.351
1.792 -2.063 3.351
1.792 2.063 -3.351
Mo Ni P
1 2 1
Direct
0.726 0.226 0.500
0.289 0.789 0.500
0.010 0.010 0.000
0.475 0.475 0.000

=====

Calculated magnetization (Bohr magnetons per cell), listed in the same order as above: 0.53 0.00 0.00